Here is an optimized crystal structure of NdYCoNi from the Alexandria database. Energies are from PBE.

## Properties
The calculated volume comes out at 20.06 Å³/atom. Its symmetry is No. 216. The total magnetization comes out at 0.26 μB per formula unit. Its energy of formation from the pure elements is -0.1475 eV per atom. The value obtained for the energy above the most stable polymorph in this dataset is 0.33 eV/f.u.

Lattice parameters (Å, degrees): 4.841 4.841 4.841 60.00 60.00 60.00
Positions (direct):
Y 0.500 0.500 0.500
Ni 0.250 0.250 0.250
Nd 0.000 0.000 0.000
Co 0.750 0.750 0.750